Entry 1:
Computed, not measured: crystalline NaInAg at its relaxed geometry at the PBE-GGA level of DFT.

DOS(E_F)   0.314 states/eV per atom
Energy   -2.382 eV/atom
Energy of formation   -0.079 eV/atom
Symmetry   P-1, No. 2
Total magnetization   0.00 μB per atom

Cell lengths 4.868, 5.663, 5.923 Å; angles 81.81, 65.81, 89.76 degrees
Element x y z (fractional)
Na 0.088 0.486 0.099
Na 0.332 0.142 0.609
In 0.638 0.047 0.997
In 0.781 0.581 0.711
Ag 0.997 0.954 0.279
Ag 0.422 0.674 0.429

***

Entry 2:
Computed, not measured: crystalline NaInAg at its relaxed geometry at the PBE-GGA level of DFT.

DOS(E_F)   0.431 states/eV per atom
Energy   -2.376 eV/atom
Energy of formation   -0.073 eV/atom
Symmetry   P3m1, No. 156
Total magnetization   0.00 μB per atom

Cell lengths 3.229, 4.999, 4.999 Å; angles 120.00, 90.00, 90.00 degrees
Element x y z (fractional)
Na 0.667 0.333 0.667
Ag 0.165 0.000 0.000
In 0.168 0.667 0.333

***

Entry 3:
Computed, not measured: crystalline NaInAg3 at its relaxed geometry at the PBE-GGA level of DFT.

Energy above the most stable polymorph in this dataset   0.086 eV per atom
DOS(E_F)   0.331 states/eV per atom
Energy   -2.491 eV/atom
Energy of formation   0.032 eV/atom
Symmetry   Cm, No. 8
Total magnetization   0.00 μB per atom

Cell lengths 5.333, 5.333, 5.453 Å; angles 106.78, 106.78, 114.03 degrees
Element x y z (fractional)
Na 0.401 0.401 0.801
In 0.753 0.753 0.506
Ag 0.644 0.145 0.288
Ag 0.145 0.644 0.288
Ag 0.055 0.055 0.111

***

Entry 4:
Computed, not measured: crystalline NaIn6Ag5 at its relaxed geometry at the PBE-GGA level of DFT.

DOS(E_F)   0.294 states/eV per atom
Energy   -2.667 eV/atom
Energy of formation   0.000 eV/atom
Symmetry   P-1, No. 2
Total magnetization   0.00 μB per atom

Cell lengths 4.495, 7.155, 8.581 Å; angles 89.99, 89.94, 72.33 degrees
Element x y z (fractional)
Na 0.000 0.000 0.000
Ag 0.669 0.659 0.500
Ag 0.325 0.348 0.000
Ag 0.000 0.000 0.500
Ag 0.675 0.652 0.000
Ag 0.331 0.341 0.500
In 0.832 0.335 0.259
In 0.832 0.335 0.741
In 0.500 0.000 0.737
In 0.500 0.000 0.263
In 0.168 0.665 0.259
In 0.168 0.665 0.741